## Cs2U3CrO12 (PBE with a Hubbard U)

Data for a relaxed structure of Cs2U3CrO12.

Cell lengths 7.517, 7.517, 7.517 Å; angles 63.54, 63.54, 63.54 degrees
Last column: magnetic moment on the atom in μB.
Atoms (fractional coordinates):
Cs 0.628 0.628 0.628  0.00
Cs 0.372 0.372 0.372  0.00
U 0.500 0.000 0.000  0.02
U 0.000 0.500 0.000  0.02
U 0.000 0.000 0.500  0.02
Cr 0.000 0.000 0.000  2.15
O 0.323 0.323 0.942  -0.01
O 0.945 0.945 0.295  -0.04
O 0.295 0.945 0.945  -0.04
O 0.942 0.323 0.323  -0.01
O 0.945 0.295 0.945  -0.04
O 0.323 0.942 0.323  -0.01
O 0.677 0.677 0.058  -0.01
O 0.055 0.055 0.705  -0.04
O 0.705 0.055 0.055  -0.04
O 0.058 0.677 0.677  -0.01
O 0.055 0.705 0.055  -0.04
O 0.677 0.058 0.677  -0.01

Properties
Magnetic moment, μB/f.u.: 1.98
Total energy, eV per atom: -8.390
SG: R-3m